GGA-PBE Cd2SiP, optimized geometry; final energy = -11.007 eV/cell; space group = No. 123; offset from the most stable computed form = 0.349 eV per atom; crystal system = tetragonal; energy relative to the elements, uncorrected = 414 meV per atom
1.0
3.790 0.000 0.000
0.000 3.790 0.000
0.000 0.000 5.525
Cd Si P
2 1 1
Direct
0.000 0.000 0.249
0.000 0.000 0.751
0.500 0.500 0.500
0.500 0.500 0.000

=====

GGA-PBE Sr2NdAl2As4, optimized geometry; final energy = -42.476 eV/cell; space group = No. 12; crystal system = monoclinic; formation energy from the elements = -0.9179 eV per atom
1.0
7.769 -2.101 0.000
7.769 2.101 0.000
-2.411 0.000 7.120
Sr Nd Al As
2 1 2 4
Direct
0.127 0.127 0.052
0.873 0.873 0.948
0.000 0.000 0.500
0.326 0.326 0.515
0.674 0.674 0.485
0.212 0.212 0.697
0.476 0.476 0.765
0.524 0.524 0.235
0.788 0.788 0.303

=====

- The highest final energy belongs to which entry?
  Cd2SiP